# SmHfSc2

SmHfSc2 after structural relaxation (PBE-GGA, Alexandria via LeMat-Bulk).

DFT total energy: -6.7495 eV/atom
Excess energy over the best structure of this formula in the dataset: 0 meV/atom
Density of states at the Fermi level: 1.45 states/eV/atom
Formation energy: 0.3 eV/f.u.

Cell lengths 3.3096, 3.3096, 32.3822 Å; angles 90.00, 90.00, 120.00 degrees
Space group R-3m (No. 166, hexagonal axes)
Unique sites:
Sm 0.0000 0.0000 0.0000 x3
Hf 0.0000 0.0000 0.5000 x3
Sc 0.0000 0.0000 0.2440 x6